(1)
Material: YAl4CuPd2
Method: DFT, PBE
State: relaxed

Values from the calculation:
Crystal system: trigonal
Calculated volume (Å³/f.u.): 136.3
Spin magnetization (μB/cell): 0.000
Energy relative to the elements (eV/atom): -0.624

abc: 4.255 4.255 9.033
angles: 76.38 76.38 60.00
Fractional coordinates of all 8 atoms:
Y: 0.000 0.000 0.000
Al: 0.403 0.403 0.791
Al: 0.868 0.868 0.397
Al: 0.132 0.132 0.603
Al: 0.597 0.597 0.209
Cu: 0.500 0.500 0.500
Pd: 0.762 0.762 0.713
Pd: 0.238 0.238 0.287

=====

(2)
Material: Y2AlCu2Pd5
Method: DFT, PBE
State: relaxed

Values from the calculation:
Crystal system: tetragonal
Calculated volume (Å³/f.u.): 170.9
Spin magnetization (μB/cell): 0.000
Energy relative to the elements (eV/atom): -0.692

abc: 3.789 9.498 9.498
angles: 90.00 90.00 90.00
Fractional coordinates of all 20 atoms:
Y: 0.000 0.674 0.174
Y: 0.000 0.326 0.826
Y: 0.000 0.174 0.326
Y: 0.000 0.826 0.674
Al: 0.000 0.000 0.000
Al: 0.000 0.500 0.500
Cu: 0.000 0.124 0.624
Cu: 0.000 0.876 0.376
Cu: 0.000 0.624 0.876
Cu: 0.000 0.376 0.124
Pd: 0.500 0.200 0.066
Pd: 0.500 0.800 0.934
Pd: 0.500 0.066 0.800
Pd: 0.500 0.700 0.434
Pd: 0.500 0.934 0.200
Pd: 0.500 0.300 0.566
Pd: 0.500 0.566 0.700
Pd: 0.500 0.434 0.300
Pd: 0.500 0.500 0.000
Pd: 0.500 0.000 0.500

=====

(3)
Material: Al3Zn3CuPd2
Method: DFT, PBE
State: relaxed

Values from the calculation:
Crystal system: hexagonal
Calculated volume (Å³/f.u.): 132.5
Spin magnetization (μB/cell): 0.000
Energy relative to the elements (eV/atom): -0.381

abc: 2.926 7.229 7.229
angles: 120.00 90.00 90.00
Fractional coordinates of all 9 atoms:
Al: 0.000 0.627 0.627
Al: 0.000 0.000 0.373
Al: 0.000 0.373 0.000
Zn: 0.500 0.718 0.000
Zn: 0.500 0.000 0.718
Zn: 0.500 0.282 0.282
Cu: 0.000 0.000 0.000
Pd: 0.500 0.667 0.333
Pd: 0.500 0.333 0.667

=====

(4)
Material: Zr3Al3CuPd2
Method: DFT, PBE
State: relaxed

Values from the calculation:
Crystal system: hexagonal
Calculated volume (Å³/f.u.): 158.7
Spin magnetization (μB/cell): 0.000
Energy relative to the elements (eV/atom): -0.628

abc: 3.544 7.190 7.190
angles: 120.00 90.00 90.00
Fractional coordinates of all 9 atoms:
Zr: 0.000 0.000 0.395
Zr: 0.000 0.605 0.605
Zr: 0.000 0.395 0.000
Al: 0.500 0.749 0.000
Al: 0.500 0.251 0.251
Al: 0.500 0.000 0.749
Cu: 0.000 0.000 0.000
Pd: 0.500 0.333 0.667
Pd: 0.500 0.667 0.333

=====

(5)
Material: PmAl2Cu
Method: DFT, PBE
State: relaxed

Values from the calculation:
Crystal system: tetragonal
E above lowest polymorph (eV/f.u.): 0.72
Calculated volume (Å³/f.u.): 75.1
Spin magnetization (μB/cell): 0.001
Energy relative to the elements (eV/atom): -0.239

abc: 3.187 3.187 7.398
angles: 90.00 90.00 90.00
Fractional coordinates of all 4 atoms:
Al: 0.000 0.000 0.811
Al: 0.000 0.000 0.189
Cu: 0.500 0.500 0.000
Pm: 0.500 0.500 0.500

=====

(6)
Material: Pm12AlCu6
Method: DFT, PBE
State: relaxed

Values from the calculation:
Crystal system: cubic
Calculated volume (Å³/f.u.): 514.6
Spin magnetization (μB/cell): 0.000
Energy relative to the elements (eV/atom): -0.113

abc: 8.744 8.744 8.744
angles: 109.47 109.47 109.47
Fractional coordinates of all 19 atoms:
Pm: 0.296 0.109 0.813
Pm: 0.296 0.483 0.187
Pm: 0.704 0.517 0.813
Pm: 0.704 0.891 0.187
Pm: 0.109 0.813 0.296
Pm: 0.483 0.187 0.296
Pm: 0.517 0.813 0.704
Pm: 0.891 0.187 0.704
Pm: 0.813 0.296 0.109
Pm: 0.187 0.296 0.483
Pm: 0.813 0.704 0.517
Pm: 0.187 0.704 0.891
Al: 0.000 0.000 0.000
Cu: 0.377 0.500 0.877
Cu: 0.623 0.500 0.123
Cu: 0.500 0.877 0.377
Cu: 0.500 0.123 0.623
Cu: 0.877 0.377 0.500
Cu: 0.123 0.623 0.500

=====

(7)
Material: Pm3Al4Cu4
Method: DFT, PBE
State: relaxed

Values from the calculation:
Crystal system: triclinic
E above lowest polymorph (eV/f.u.): 0.00
Calculated volume (Å³/f.u.): 223.0
Spin magnetization (μB/cell): 0.000
Energy relative to the elements (eV/atom): -0.350

abc: 4.318 4.113 12.902
angles: 80.80 80.41 89.98
Fractional coordinates of all 11 atoms:
Pm: 0.653 0.153 0.694
Pm: 0.347 0.847 0.306
Pm: 0.000 0.000 0.000
Al: 0.553 0.553 0.895
Al: 0.447 0.447 0.105
Al: 0.801 0.300 0.397
Al: 0.199 0.700 0.603
Cu: 0.100 0.601 0.800
Cu: 0.251 0.253 0.498
Cu: 0.749 0.747 0.502
Cu: 0.900 0.399 0.200

=====

(8)
Material: Pm8Al2Cu
Method: DFT, PBE
State: relaxed

Values from the calculation:
Crystal system: monoclinic
E above lowest polymorph (eV/f.u.): 0.00
Calculated volume (Å³/f.u.): 319.8
Spin magnetization (μB/cell): 0.000
Energy relative to the elements (eV/atom): -0.141

abc: 5.142 6.804 9.751
angles: 103.13 105.29 90.00
Fractional coordinates of all 11 atoms:
Pm: 0.406 0.536 0.812
Pm: 0.653 0.973 0.306
Pm: 0.792 0.701 0.584
Pm: 0.982 0.223 0.964
Pm: 0.208 0.299 0.416
Pm: 0.347 0.027 0.694
Pm: 0.594 0.464 0.188
Pm: 0.018 0.777 0.036
Al: 0.815 0.255 0.629
Al: 0.185 0.745 0.371
Cu: 0.500 0.000 0.000